Below is an optimized crystal structure of CaTl2Ge2, with properties calculated at the PBE level.

Structure (POSCAR):
```
CaTl2Ge2
1.0
4.514 0.000 0.000
0.000 4.514 0.000
0.000 0.000 13.605
Ca Tl Ge
2 4 4
Direct
0.000 0.000 0.000
0.500 0.500 0.500
0.000 0.500 0.250
0.000 0.500 0.750
0.500 0.000 0.250
0.500 0.000 0.750
0.000 0.000 0.411
0.000 0.000 0.589
0.500 0.500 0.089
0.500 0.500 0.911
```

Summary:
final energy	-32.61	eV for the cell shown
spin magnetization	0.0000	μB per atom
ΔE_f	-67.4	meV/atom
distance to the lowest polymorph of the same formula	0.4	meV/atom